DFT (PBE) results for a relaxed NiIr2Rh2 crystal.

abc: 4.7593 4.7593 5.0551
angles: 118.08 118.08 90.00
Site moments in Bohr magnetons follow the coordinates.
Element x y z (fractional)
Ni (0.0000, 0.0000, 0.0000)  0.37
Ir (0.6557, 0.6557, 0.3114)  0.03
Ir (0.3443, 0.3443, 0.6886)  0.03
Rh (0.2500, 0.7500, 0.5000)  0.02
Rh (0.7500, 0.2500, 0.5000)  0.02

DOS at the Fermi energy: 7.8 states/eV/cell
excess energy over the best structure of this formula in the dataset: 801.5 meV per atom
crystal system: tetragonal
formation energy: 0.81 eV/atom